1.
KErFeSe3 | OQMD via LeMat-Bulk | GGA-PBE | optimized geometry; energy relative to the lowest polymorph listed for this composition = 15 kJ/mol of formula units; energy = -5.264 eV/atom; symmetry = Pnma
1.0
10.774 0.000 0.000
0.000 4.127 0.000
0.000 0.000 14.228
K Er Fe Se
4 4 4 12
Direct
0.232 0.250 0.003
0.268 0.750 0.503
0.732 0.250 0.497
0.768 0.750 0.997
0.009 0.750 0.254
0.491 0.250 0.754
0.509 0.750 0.246
0.991 0.250 0.746
0.242 0.750 0.783
0.258 0.250 0.283
0.742 0.750 0.717
0.758 0.250 0.217
0.053 0.750 0.875
0.076 0.250 0.382
0.243 0.250 0.684
0.257 0.750 0.184
0.424 0.750 0.882
0.447 0.250 0.375
0.553 0.750 0.625
0.576 0.250 0.118
0.743 0.250 0.816
0.757 0.750 0.316
0.924 0.750 0.618
0.947 0.250 0.125

***

2.
La2TbAs3 | OQMD via LeMat-Bulk | GGA-PBE | optimized geometry; energy = -6.294 eV/atom; symmetry = P-3m1
1.0
4.293 0.000 0.000
-2.147 3.718 0.000
0.000 0.000 10.522
La Tb As
2 1 3
Direct
0.333 0.667 0.328
0.667 0.333 0.672
0.000 0.000 0.000
0.000 0.000 0.500
0.333 0.667 0.843
0.667 0.333 0.157

***

3.
Hf2ZnTe | OQMD via LeMat-Bulk | GGA-PBE | optimized geometry; energy = -5.764 eV/atom; symmetry = F-43m
1.0
0.000 3.504 3.504
3.504 0.000 3.504
3.504 3.504 0.000
Hf Zn Te
2 1 1
Direct
0.000 0.000 0.000
0.250 0.250 0.250
0.750 0.750 0.750
0.500 0.500 0.500

***

4.
ZrInAg2Se4 | OQMD via LeMat-Bulk | GGA-PBE | optimized geometry; energy = -4.397 eV/atom; symmetry = I-4
1.0
-3.084 3.084 6.147
3.084 -3.084 6.147
3.084 3.084 -6.147
Zr In Ag Se
1 1 2 4
Direct
0.000 0.000 0.000
0.750 0.250 0.500
0.250 0.750 0.500
0.500 0.500 0.000
0.127 0.117 0.484
0.356 0.873 0.990
0.634 0.644 0.516
0.883 0.366 0.010

***

5.
Nd2GdTa2O6 | OQMD via LeMat-Bulk | GGA-PBE | optimized geometry; energy = -8.676 eV/atom; symmetry = I4/mmm
1.0
-1.990 1.990 9.735
1.990 -1.990 9.735
1.990 1.990 -9.735
Nd Gd Ta O
2 1 2 6
Direct
0.182 0.182 0.000
0.818 0.818 0.000
0.000 0.000 0.000
0.432 0.432 0.000
0.568 0.568 0.000
0.094 0.594 0.500
0.295 0.295 0.000
0.406 0.906 0.500
0.594 0.094 0.500
0.705 0.705 0.000
0.906 0.406 0.500

***

6.
TlIrPb2O6 | OQMD via LeMat-Bulk | GGA-PBE | optimized geometry; energy = -5.663 eV/atom; symmetry = C2/m
1.0
4.978 -2.891 0.000
4.978 2.891 0.000
-3.362 0.000 4.931
Tl Ir Pb O
1 1 2 6
Direct
0.000 0.000 0.000
0.500 0.500 0.500
0.249 0.249 0.725
0.751 0.751 0.275
0.191 0.665 0.649
0.278 0.278 0.164
0.335 0.809 0.351
0.665 0.191 0.649
0.722 0.722 0.836
0.809 0.335 0.351

***

7.
CsHfBeAu | OQMD via LeMat-Bulk | GGA-PBE | optimized geometry; energy relative to the lowest polymorph listed for this composition = 79 kJ/mol of formula units; energy = -3.282 eV/atom; symmetry = F-43m
1.0
0.000 3.538 3.538
3.538 0.000 3.538
3.538 3.538 0.000
Cs Hf Be Au
1 1 1 1
Direct
0.000 0.000 0.000
0.750 0.750 0.750
0.500 0.500 0.500
0.250 0.250 0.250

***

8.
TbTaN2O | OQMD via LeMat-Bulk | GGA-PBE | optimized geometry; energy = -9.436 eV/atom; symmetry = Pm
1.0
3.892 0.000 0.000
0.000 3.745 0.000
-0.016 0.000 4.586
Tb Ta N O
1 1 2 1
Direct
0.000 0.000 0.000
0.503 0.500 0.438
0.003 0.500 0.322
0.505 0.500 0.848
0.501 0.000 0.292

***

9.
Li2ZnPd | OQMD via LeMat-Bulk | GGA-PBE | optimized geometry; energy = -3.005 eV/atom; symmetry = F-43m
1.0
0.000 3.039 3.039
3.039 0.000 3.039
3.039 3.039 0.000
Li Zn Pd
2 1 1
Direct
0.000 0.000 0.000
0.250 0.250 0.250
0.500 0.500 0.500
0.750 0.750 0.750

***

10.
POs | OQMD via LeMat-Bulk | GGA-PBE | optimized geometry; energy = -7.689 eV/atom; symmetry = Fm-3m
1.0
0.000 2.451 2.451
2.451 0.000 2.451
2.451 2.451 0.000
P Os
1 1
Direct
0.000 0.000 0.000
0.500 0.500 0.500